Li4ScAu2 | PBE | optimized geometry

Cell and atoms, written as extended XYZ:
```
7
Lattice="-1.718 1.718 11.036 1.718 -1.718 11.036 1.718 1.718 -11.036" Properties=species:S:1:pos:R:3 pbc="T T T"
Li 0.000 0.000 3.063
Li 1.718 0.000 5.518
Li 0.000 1.718 5.518
Li 0.000 0.000 19.009
Sc 0.000 0.000 0.000
Au 0.000 0.000 9.421
Au 0.000 0.000 12.651
```

Computed properties:
The value obtained for the density of states at the Fermi level is 3.25 states/eV per cell. For the energy relative to the elements, the calculation gives -1.89 eV/f.u.

Tb6CeY3 | PBE | optimized geometry

Cell and atoms, written as extended XYZ:
```
20
Lattice="11.548 0.000 0.000 0.000 3.510 0.000 -4.792 0.000 15.957" Properties=species:S:1:pos:R:3 pbc="T T T"
Tb -1.060 0.878 4.020
Tb -0.924 0.878 10.543
Tb 1.813 2.633 2.509
Tb 1.815 0.878 5.615
Tb 4.419 0.878 0.738
Tb 1.986 2.633 11.871
Tb 4.770 0.878 4.086
Tb 2.337 2.633 15.218
Tb 4.940 2.633 10.341
Tb 4.943 0.878 13.448
Tb 7.680 2.633 5.413
Tb 7.816 2.633 11.936
Ce -0.901 2.633 7.308
Ce 7.657 0.878 8.649
Y -3.465 0.878 15.168
Y -0.832 2.633 13.739
Y 2.150 0.878 8.917
Y 4.606 2.633 7.040
Y 7.588 0.878 2.218
Y 10.221 2.633 0.789
```

Computed properties:
The value obtained for the density of states at the Fermi level is 36.10 states/eV per cell. For the energy relative to the elements, the calculation gives 0.90 eV/f.u. The calculation puts the energy above the lowest structure with this stoichiometry at 0.000 eV/atom.

CaNi3Sn3 | PBE | optimized geometry

Cell and atoms, written as extended XYZ:
```
14
Lattice="4.042 2.334 5.054 -4.042 2.334 5.054 0.000 -4.668 5.054" Properties=species:S:1:pos:R:3 pbc="T T T"
Ca 0.000 0.000 2.648
Ca 0.000 0.000 12.515
Ni -1.234 -2.102 6.787
Ni -2.437 0.017 8.375
Ni -1.203 2.119 6.787
Ni 1.203 -2.119 8.375
Ni 2.437 -0.017 6.787
Ni 1.234 2.102 8.375
Sn -2.456 0.079 5.835
Sn -1.296 -2.087 9.327
Sn 1.159 -2.166 5.835
Sn -1.159 2.166 9.327
Sn 1.296 2.087 5.835
Sn 2.456 -0.079 9.327
```

Computed properties:
The value obtained for the density of states at the Fermi level is 4.68 states/eV per cell. For the energy relative to the elements, the calculation gives -1.40 eV/f.u. The calculation puts the energy above the lowest structure with this stoichiometry at 0.000 eV/atom.

Th4AgHg3 | PBE | optimized geometry

Cell and atoms, written as extended XYZ:
```
16
Lattice="11.050 0.000 0.000 0.000 6.845 0.000 0.000 0.000 5.733" Properties=species:S:1:pos:R:3 pbc="T T T"
Th 0.000 1.696 0.000
Th 0.000 5.149 0.000
Th 2.763 1.702 2.223
Th 2.763 5.143 2.223
Th 5.525 1.696 0.000
Th 5.525 5.149 0.000
Th 8.288 1.702 3.510
Th 8.288 5.143 3.510
Ag 0.000 0.000 2.866
Ag 5.525 0.000 2.866
Hg 0.000 3.423 2.866
Hg 2.763 0.000 5.011
Hg 2.763 3.423 5.041
Hg 5.525 3.423 2.866
Hg 8.288 0.000 0.722
Hg 8.288 3.423 0.692
```

Computed properties:
The value obtained for the density of states at the Fermi level is 16.29 states/eV per cell. For the energy relative to the elements, the calculation gives -1.26 eV/f.u.

Tl3Ga9Sn2 | PBE | optimized geometry

Cell and atoms, written as extended XYZ:
```
14
Lattice="-2.220 5.368 6.887 2.220 -5.368 6.887 2.220 5.368 -6.887" Properties=species:S:1:pos:R:3 pbc="T T T"
Tl 0.000 0.000 0.000
Tl 0.000 0.000 4.254
Tl 0.000 0.000 9.520
Ga 2.220 -1.298 2.220
Ga 2.220 -2.470 4.683
Ga 2.220 1.298 2.220
Ga 0.000 2.898 2.204
Ga 0.000 5.368 0.000
Ga 2.220 2.470 4.683
Ga 0.000 4.070 4.668
Ga 0.000 7.838 2.204
Ga 0.000 6.666 4.668
Sn 2.220 3.192 0.000
Sn 0.000 2.176 6.887
```

Computed properties:
The value obtained for the density of states at the Fermi level is 4.78 states/eV per cell. For the energy relative to the elements, the calculation gives 0.53 eV/f.u.

Tm2Cu2Ni | PBE | optimized geometry

Cell and atoms, written as extended XYZ:
```
10
Lattice="4.880 -1.907 0.000 4.880 1.907 0.000 -4.009 0.000 9.826" Properties=species:S:1:pos:R:3 pbc="T T T"
Tm -1.305 0.000 3.326
Tm 1.393 0.000 1.182
Tm 4.359 0.000 8.644
Tm 7.056 0.000 6.499
Cu 1.553 0.000 4.423
Cu 4.201 0.000 1.083
Cu 1.550 0.000 8.742
Cu 4.199 0.000 5.403
Ni 0.144 0.000 6.678
Ni 5.608 0.000 3.147
```

Computed properties:
The value obtained for the density of states at the Fermi level is 6.08 states/eV per cell. For the energy relative to the elements, the calculation gives -1.75 eV/f.u.

Y2Mg | PBE | optimized geometry

Cell and atoms, written as extended XYZ:
```
6
Lattice="-4.043 4.043 2.781 4.043 -4.043 2.781 4.043 4.043 -2.781" Properties=species:S:1:pos:R:3 pbc="T T T"
Y 5.262 1.219 0.000
Y 1.219 2.824 0.000
Y 2.824 1.219 2.781
Y -1.219 2.824 2.781
Mg 0.000 0.000 1.391
Mg 0.000 0.000 4.172
```

Computed properties:
The value obtained for the density of states at the Fermi level is 8.48 states/eV per cell. For the energy relative to the elements, the calculation gives 0.21 eV/f.u.

NaLi2Tl2 | PBE | optimized geometry

Cell and atoms, written as extended XYZ:
```
10
Lattice="8.219 0.000 0.000 0.000 8.219 0.000 0.000 0.000 3.381" Properties=species:S:1:pos:R:3 pbc="T T T"
Na 0.000 0.000 0.000
Na 4.110 4.110 0.000
Li 1.090 3.020 0.000
Li 3.020 7.130 0.000
Li 5.199 1.090 0.000
Li 7.130 5.199 0.000
Tl 1.335 5.445 1.690
Tl 2.775 1.335 1.690
Tl 5.445 6.884 1.690
Tl 6.884 2.775 1.690
```

Computed properties:
The value obtained for the density of states at the Fermi level is 3.22 states/eV per cell. For the energy relative to the elements, the calculation gives -0.88 eV/f.u. The calculation puts the energy above the lowest structure with this stoichiometry at 0.000 eV/atom.

La2LuPd | PBE | optimized geometry

Cell and atoms, written as extended XYZ:
```
4
Lattice="3.813 0.000 0.000 0.000 3.813 0.000 0.000 0.000 8.031" Properties=species:S:1:pos:R:3 pbc="T T T"
La 0.000 0.000 1.695
La 0.000 0.000 6.336
Lu 1.907 1.907 4.015
Pd 1.907 1.907 0.000
```

Computed properties:
The value obtained for the density of states at the Fermi level is 4.29 states/eV per cell. For the energy relative to the elements, the calculation gives -1.30 eV/f.u. The calculation puts the energy above the lowest structure with this stoichiometry at 0.000 eV/atom.

AcEr2Lu | PBE | optimized geometry

Cell and atoms, written as extended XYZ:
```
4
Lattice="0.000 4.071 4.071 4.071 0.000 4.071 4.071 4.071 0.000" Properties=species:S:1:pos:R:3 pbc="T T T"
Ac 0.000 0.000 0.000
Er 2.035 2.035 2.035
Er 6.106 6.106 6.106
Lu 4.071 4.071 4.071
```

Computed properties:
The value obtained for the density of states at the Fermi level is 5.96 states/eV per cell. For the energy relative to the elements, the calculation gives 0.58 eV/f.u. The calculation puts the energy above the lowest structure with this stoichiometry at 0.067 eV/atom.

Li2Zn4Pd | PBE | optimized geometry

Cell and atoms, written as extended XYZ:
```
7
Lattice="-2.664 2.664 3.857 2.664 -2.664 3.857 2.664 2.664 -3.857" Properties=species:S:1:pos:R:3 pbc="T T T"
Li 2.664 0.000 0.000
Li 0.000 2.664 0.000
Zn 1.332 1.332 -1.928
Zn 1.332 -1.332 1.928
Zn -1.332 1.332 1.928
Zn 1.332 1.332 1.928
Pd 0.000 0.000 0.000
```

Computed properties:
The value obtained for the density of states at the Fermi level is 1.03 states/eV per cell. For the energy relative to the elements, the calculation gives -1.81 eV/f.u. The calculation puts the energy above the lowest structure with this stoichiometry at 0.000 eV/atom.

Cs3DyAg2Br9 | PBE | optimized geometry

Cell and atoms, written as extended XYZ:
```
15
Lattice="7.932 0.000 0.000 -3.966 6.869 0.000 0.000 0.000 9.837" Properties=species:S:1:pos:R:3 pbc="T T T"
Cs 0.000 0.000 0.000
Cs 0.000 4.580 6.678
Cs 3.966 2.290 3.159
Dy 0.000 0.000 4.919
Ag 0.000 4.580 1.499
Ag 3.966 2.290 8.338
Br -1.983 3.435 0.000
Br 0.000 2.288 3.308
Br -1.985 5.726 3.308
Br 1.981 1.144 6.529
Br 3.966 0.000 0.000
Br 1.983 3.435 0.000
Br 1.985 5.726 3.308
Br 5.951 1.144 6.529
Br 3.966 4.582 6.529
```

Computed properties:
The value obtained for the density of states at the Fermi level is 6.94 states/eV per cell. The calculation puts the uncorrected formation energy at -1336 meV per atom.

Ag2SbMo | PBE | optimized geometry

Cell and atoms, written as extended XYZ:
```
4
Lattice="2.777 -4.704 0.000 2.777 4.704 0.000 0.000 0.000 2.882" Properties=species:S:1:pos:R:3 pbc="T T T"
Ag 1.389 2.352 0.000
Ag 1.389 -2.352 0.000
Sb 0.000 0.000 1.441
Mo 2.777 0.000 1.441
```

Computed properties:
The value obtained for the density of states at the Fermi level is 1.79 states/eV per cell. The calculation puts the uncorrected formation energy at 440 meV per atom.

CrFe2Se4 | PBE | optimized geometry

Cell and atoms, written as extended XYZ:
```
7
Lattice="3.492 0.000 0.000 -1.746 3.024 0.000 0.000 0.000 11.587" Properties=species:S:1:pos:R:3 pbc="T T T"
Cr 0.000 0.000 0.000
Fe 0.000 0.000 3.067
Fe 0.000 0.000 8.521
Se 0.000 2.016 1.510
Se 0.000 2.016 7.276
Se 1.746 1.008 4.311
Se 1.746 1.008 10.077
```

Computed properties:
The value obtained for the density of states at the Fermi level is 8.61 states/eV per cell. The calculation puts the uncorrected formation energy at -190 meV per atom. The calculation puts the energy above the lowest structure with this stoichiometry at 0.104 eV/atom.

SrErS2O8 | PBE | optimized geometry

Cell and atoms, written as extended XYZ:
```
12
Lattice="5.160 0.000 0.000 -2.580 4.468 0.000 0.000 0.000 7.846" Properties=species:S:1:pos:R:3 pbc="T T T"
Sr 0.000 0.000 0.000
Er 0.000 0.000 3.923
S 0.000 2.979 6.129
S 2.580 1.489 1.717
O 0.000 1.569 5.647
O -1.221 3.684 5.647
O 0.000 2.979 7.609
O 1.359 0.785 2.198
O 1.221 3.684 5.647
O 2.580 1.489 0.237
O 3.801 0.785 2.198
O 2.580 2.899 2.198
```

Computed properties:
The value obtained for the density of states at the Fermi level is 1.43 states/eV per cell. The calculation puts the uncorrected formation energy at -2015 meV per atom.

SrPuTlPb | PBE | optimized geometry

Cell and atoms, written as extended XYZ:
```
4
Lattice="0.000 3.991 3.991 3.991 0.000 3.991 3.991 3.991 0.000" Properties=species:S:1:pos:R:3 pbc="T T T"
Sr 0.000 0.000 0.000
Pu 3.991 3.991 3.991
Tl 5.986 5.986 5.986
Pb 1.995 1.995 1.995
```

Computed properties:
The value obtained for the density of states at the Fermi level is 14.64 states/eV per cell. For the energy relative to the elements, the calculation gives -0.79 eV/f.u.

CaCuNi4H8 | PBE | optimized geometry

Cell and atoms, written as extended XYZ:
```
14
Lattice="2.671 1.542 4.362 -2.671 1.542 4.362 0.000 -3.085 4.362" Properties=species:S:1:pos:R:3 pbc="T T T"
Ca 0.000 0.000 0.000
Cu 0.000 0.000 8.131
Ni -1.314 -0.759 6.003
Ni 0.000 0.000 3.299
Ni 1.314 -0.759 6.003
Ni 0.000 1.518 6.003
H 0.000 -1.497 6.948
H -1.296 0.748 6.948
H 0.000 0.000 5.014
H -1.017 -0.587 9.515
H 0.000 0.000 11.000
H 1.296 0.748 6.948
H 1.017 -0.587 9.515
H 0.000 1.174 9.515
```

Computed properties:
The value obtained for the density of states at the Fermi level is 5.34 states/eV per cell. The calculation puts the total DFT energy (no corrections) at -0.29970 Ry per atom.

Ni2RhAuN | PBE | optimized geometry

Cell and atoms, written as extended XYZ:
```
5
Lattice="3.902 0.000 0.000 0.000 3.902 0.000 0.000 0.000 4.012" Properties=species:S:1:pos:R:3 pbc="T T T"
Ni 0.000 1.951 0.000
Ni 1.951 0.000 0.000
Rh 0.000 0.000 2.006
Au 1.951 1.951 2.006
N 0.000 0.000 0.000
```

Computed properties:
The value obtained for the density of states at the Fermi level is 6.32 states/eV per cell. The calculation puts the uncorrected formation energy at 95 meV per atom. The calculation puts the energy above the lowest structure with this stoichiometry at 0.000 eV/atom.

AgSeBr2 | PBE | optimized geometry

Cell and atoms, written as extended XYZ:
```
4
Lattice="4.210 0.000 0.000 0.000 2.346 6.479 0.000 -2.346 6.479" Properties=species:S:1:pos:R:3 pbc="T T T"
Ag 0.000 0.000 0.000
Se 2.105 0.000 11.343
Br 0.000 0.000 7.732
Br 2.105 0.000 3.962
```

Computed properties:
The value obtained for the density of states at the Fermi level is 3.39 states/eV per cell. The calculation puts the uncorrected formation energy at -54 meV per atom. The calculation puts the energy above the lowest structure with this stoichiometry at 0.102 eV/atom.

Y2Er3In4 | PBE | optimized geometry

Cell and atoms, written as extended XYZ:
```
18
Lattice="3.504 -8.102 0.000 3.504 8.102 0.000 0.000 0.000 9.140" Properties=species:S:1:pos:R:3 pbc="T T T"
Y 3.504 6.302 8.475
Y 3.504 1.800 3.905
Y 3.504 -1.800 5.235
Y 3.504 -6.302 0.665
Er 0.000 0.000 4.570
Er 1.752 3.458 6.855
Er 1.752 -3.458 2.285
Er 3.504 0.000 0.000
Er 5.256 3.458 6.855
Er 5.256 -3.458 2.285
In 3.504 5.063 4.934
In 1.752 0.416 6.855
In 1.752 -0.416 2.285
In 3.504 3.039 0.364
In 3.504 -3.039 8.776
In 5.256 0.416 6.855
In 5.256 -0.416 2.285
In 3.504 -5.063 4.206
```

Computed properties:
The value obtained for the density of states at the Fermi level is 13.41 states/eV per cell. For the energy relative to the elements, the calculation gives -2.38 eV/f.u.

Quick rundown of total moment, same order as above: 0.000; 0.968; 0.000; 0.000; 0.000; 0.000; 1.124; 0.000; 0.000; 0.001; 0.000; 0.000; 0.000; 4.878; 0.446; 5.930; 0.000; 0.000; 0.000; 0.000 μB per formula unit